1.
CoTePd2 after structural relaxation, computed with PBE.

a = 3.8296 Å, b = 3.8296 Å, c = 9.7217 Å
α = 78.64°, β = 78.64°, γ = 90.00°
Last column: magnetic moment on the atom in μB.
Positions (direct):
Pd  0.8750  0.8681  0.7500  0.04
Pd  0.3750  0.3819  0.7500  0.04
Pd  0.6181  0.1250  0.2500  0.04
Pd  0.1319  0.6250  0.2500  0.04
Co  0.5000  0.5000  0.0000  1.29
Co  0.2500  0.7500  0.5000  1.29
Te  0.7500  0.2500  0.5000  -0.03
Te  0.0000  0.0000  0.0000  -0.03

## Properties
total DFT energy (no corrections)	-5.04	eV/atom
formation energy from raw total energies	11.81	kJ/mol of atoms



2.
Co2TePd2 after structural relaxation, computed with PBE.

a = 6.3603 Å, b = 6.3603 Å, c = 3.8430 Å
α = 90.00°, β = 90.00°, γ = 90.00°
Last column: magnetic moment on the atom in μB.
Positions (direct):
Pd  0.3376  0.1624  0.5000  0.20
Pd  0.1624  0.6624  0.5000  0.18
Pd  0.8376  0.3376  0.5000  0.18
Pd  0.6624  0.8376  0.5000  0.20
Te  0.5000  0.5000  0.0000  0.00
Te  0.0000  0.0000  0.0000  0.00
Co  0.1270  0.3730  0.0000  1.57
Co  0.6270  0.1270  0.0000  1.56
Co  0.8730  0.6270  0.0000  1.57
Co  0.3730  0.8730  0.0000  1.56

## Properties
total DFT energy (no corrections)	-5.42	eV/atom
formation energy from raw total energies	12.47	kJ/mol of atoms



3.
CoTe6Pd after structural relaxation, computed with PBE.

a = 6.5979 Å, b = 6.5974 Å, c = 6.5274 Å
α = 59.62°, β = 59.62°, γ = 60.00°
Positions (direct):
Te  0.7707  0.0461  0.7509
Te  0.4323  0.7710  0.7506
Te  0.9540  0.5675  0.2493
Te  0.2293  0.9539  0.2491
Te  0.5677  0.2290  0.2494
Te  0.0460  0.4325  0.7507
Pd  0.5000  0.5000  0.5000
Co  0.0000  0.0000  0.0000

## Properties
total DFT energy (no corrections)	-4.03	eV/atom
formation energy from raw total energies	-13.20	kJ/mol of atoms